P) A relaxed structure of BeNbBOs, computed with PBE-GGA. Values from VASP.

The structure in Quantum ESPRESSO input format:
```
&SYSTEM
  ibrav = 0, nat = 4, ntyp = 4
/
ATOMIC_SPECIES
Os 190.23 Os.upf
Nb 92.91 Nb.upf
B 10.81 B.upf
Be 9.01 Be.upf
CELL_PARAMETERS angstrom
3.543 -0.260 -1.862
2.085 -3.425 0.124
0.369 -2.244 -3.304
ATOMIC_POSITIONS crystal
Os 0.000 0.000 0.000
Nb 0.500 0.500 0.500
B 0.250 0.250 0.250
Be 0.750 0.750 0.750
```

Values from the calculation:
space group	F-43m
total magnetic moment	0.0	μB per formula unit

Q) A relaxed structure of BeNbBOs, computed with PBE-GGA. Values from VASP.

The structure in Quantum ESPRESSO input format:
```
&SYSTEM
  ibrav = 0, nat = 4, ntyp = 4
/
ATOMIC_SPECIES
Nb 92.91 Nb.upf
Os 190.23 Os.upf
Be 9.01 Be.upf
B 10.81 B.upf
CELL_PARAMETERS angstrom
0.000 2.924 2.924
2.924 0.000 2.924
2.924 2.924 0.000
ATOMIC_POSITIONS crystal
Nb 0.250 0.250 0.250
Os 0.000 0.000 0.000
Be 0.750 0.750 0.750
B 0.500 0.500 0.500
```

Values from the calculation:
space group	F-43m
total magnetic moment	0.0	μB per formula unit

Ranking the structures above from most stable to least stable yields P), Q).